Record 1
This record from the Alexandria database describes a relaxed TmZnPd2 crystal. The functional is PBE-GGA.

Unit cell a=3.4489 b=3.4489 c=5.9330 alpha=90.00 beta=90.00 gamma=90.00
Fractional positions:
Tm 0.0000 0.0000 0.0000
Zn 0.0000 0.0000 0.5000
Pd 0.5000 0.5000 0.2695
Pd 0.5000 0.5000 0.7305

Symmetry   P4/mmm (123)
Density of states at the Fermi level   0.354 states/eV per atom
ρ   10.52 g/cm³
E_tot   -4.78 eV/atom
Spin magnetization   0.000 μB per formula unit



Record 2
This record from the Alexandria database describes a relaxed PuCdAgPb crystal. The functional is PBE-GGA.

Unit cell a=5.1857 b=5.1857 c=5.1857 alpha=60.00 beta=60.00 gamma=60.00
Fractional positions:
Pu 0.0000 0.0000 0.0000
Cd 0.5000 0.5000 0.5000
Ag 0.7500 0.7500 0.7500
Pb 0.2500 0.2500 0.2500

Symmetry   F-43m (216)
Density of states at the Fermi level   3.270 states/eV per atom
ρ   11.31 g/cm³
E_tot   -5.46 eV/atom
Spin magnetization   5.629 μB per formula unit



Record 3
This record from the Alexandria database describes a relaxed Ca3Ga2Cu7 crystal. The functional is PBE-GGA.

Unit cell a=8.9015 b=8.9015 c=8.9015 alpha=34.71 beta=34.71 gamma=34.71
Fractional positions:
Ca 0.0000 0.0000 0.0000
Ca 0.1425 0.1425 0.1425
Ca 0.8575 0.8575 0.8575
Ga 0.3310 0.3310 0.3310
Ga 0.6690 0.6690 0.6690
Cu 0.0871 0.5797 0.5797
Cu 0.4203 0.4203 0.9129
Cu 0.4203 0.9129 0.4203
Cu 0.5000 0.5000 0.5000
Cu 0.5797 0.0871 0.5797
Cu 0.5797 0.5797 0.0871
Cu 0.9129 0.4203 0.4203

Symmetry   R-3m (166)
Density of states at the Fermi level   0.679 states/eV per atom
ρ   5.73 g/cm³
E_tot   -3.58 eV/atom
Spin magnetization   0.000 μB per formula unit



Record 4
This record from the Alexandria database describes a relaxed Li2NbRh2 crystal. The functional is PBE-GGA.

Unit cell a=6.8365 b=6.8365 c=2.8729 alpha=90.00 beta=90.00 gamma=90.00
Fractional positions:
Li 0.1090 0.3910 0.0000
Li 0.3910 0.8910 0.0000
Li 0.6090 0.1090 0.0000
Li 0.8910 0.6090 0.0000
Nb 0.0000 0.0000 0.0000
Nb 0.5000 0.5000 0.0000
Rh 0.1906 0.6906 0.5000
Rh 0.3094 0.1906 0.5000
Rh 0.6906 0.8094 0.5000
Rh 0.8094 0.3094 0.5000

Symmetry   P4/mbm (127)
Density of states at the Fermi level   0.550 states/eV per atom
ρ   7.73 g/cm³
E_tot   -5.85 eV/atom
Spin magnetization   0.000 μB per formula unit
ΔE to the lowest computed polymorph   0 meV/atom



Record 5
This record from the Alexandria database describes a relaxed CuSi2P crystal. The functional is PBE-GGA.

Unit cell a=5.1767 b=5.1034 c=3.5753 alpha=70.75 beta=68.55 gamma=40.70
Fractional positions:
Cu 0.0000 0.0000 0.0000
Si 0.0000 0.5000 0.5000
Si 0.5000 0.0000 0.0000
P 0.5000 0.5000 0.5000

Symmetry   Fmmm (69)
Density of states at the Fermi level   0.305 states/eV per atom
ρ   4.38 g/cm³
ΔE_f (raw)   0.2038 eV per atom
E_tot   -4.88 eV/atom
Spin magnetization   0.000 μB per formula unit



Record 6
This record from the Alexandria database describes a relaxed LiPu2Cl2O2 crystal. The functional is PBE-GGA.

Unit cell a=7.9558 b=7.9558 c=7.9558 alpha=151.44 beta=151.44 gamma=40.84
Fractional positions:
Li 0.0000 0.0000 0.0000
Pu 0.3984 0.3984 0.0000
Pu 0.6016 0.6016 0.0000
Cl 0.1819 0.1819 0.0000
Cl 0.8181 0.8181 0.0000
O 0.0000 0.5000 0.5000
O 0.5000 0.0000 0.5000

Symmetry   I4/mmm (139)
Density of states at the Fermi level   2.568 states/eV per atom
ρ   8.64 g/cm³
ΔE_f (raw)   -2.2077 eV per atom
E_tot   -8.52 eV/atom
Spin magnetization   11.000 μB per formula unit



Record 7
This record from the Alexandria database describes a relaxed LiSmAgAu crystal. The functional is PBE-GGA.

Unit cell a=4.6311 b=4.6311 c=5.3593 alpha=115.44 beta=115.44 gamma=59.81
Fractional positions:
Li 0.0000 0.0000 0.0000
Sm 0.5060 0.5060 0.5193
Ag 0.7238 0.7238 0.1746
Au 0.2870 0.2870 0.8599

Symmetry   Cm (8)
Density of states at the Fermi level   0.516 states/eV per atom
ρ   8.89 g/cm³
E_tot   -3.66 eV/atom
Spin magnetization   0.000 μB per formula unit



Record 8
This record from the Alexandria database describes a relaxed Mg2VAs2 crystal. The functional is PBE-GGA.

Unit cell a=6.6762 b=6.6762 c=4.0034 alpha=90.00 beta=90.00 gamma=90.00
Fractional positions:
Mg 0.1642 0.3358 0.0000
Mg 0.3358 0.8358 0.0000
Mg 0.6642 0.1642 0.0000
Mg 0.8358 0.6642 0.0000
V 0.0000 0.0000 0.5000
V 0.5000 0.5000 0.5000
As 0.1515 0.6515 0.5000
As 0.3485 0.1515 0.5000
As 0.6515 0.8485 0.5000
As 0.8485 0.3485 0.5000

Symmetry   P4/mbm (127)
Density of states at the Fermi level   0.427 states/eV per atom
ρ   4.64 g/cm³
E_tot   -4.62 eV/atom
Spin magnetization   0.638 μB per formula unit



Record 9
This record from the Alexandria database describes a relaxed NaZr2PtO crystal. The functional is PBE-GGA.

Unit cell a=4.4371 b=4.4371 c=4.2485 alpha=90.00 beta=90.00 gamma=90.00
Fractional positions:
Na 0.0000 0.0000 0.0000
Zr 0.0000 0.5000 0.5000
Zr 0.5000 0.0000 0.5000
Pt 0.5000 0.5000 0.0000
O 0.0000 0.0000 0.5000

Symmetry   P4/mmm (123)
Density of states at the Fermi level   0.744 states/eV per atom
ρ   8.27 g/cm³
ΔE_f (raw)   -1.1592 eV per atom
E_tot   -7.04 eV/atom
Spin magnetization   0.000 μB per formula unit



Question: Which value of density of states at the Fermi level does entry 1 give?
Answer: 0.354 states/eV per atom



Question: Look up the spin magnetization of the first one.
Answer: 0.000 μB per formula unit



What did the third record say?
This record from the Alexandria database describes a relaxed Ca3Ga2Cu7 crystal. The functional is PBE-GGA.

Unit cell a=8.9015 b=8.9015 c=8.9015 alpha=34.71 beta=34.71 gamma=34.71
Fractional positions:
Ca 0.0000 0.0000 0.0000
Ca 0.1425 0.1425 0.1425
Ca 0.8575 0.8575 0.8575
Ga 0.3310 0.3310 0.3310
Ga 0.6690 0.6690 0.6690
Cu 0.0871 0.5797 0.5797
Cu 0.4203 0.4203 0.9129
Cu 0.4203 0.9129 0.4203
Cu 0.5000 0.5000 0.5000
Cu 0.5797 0.0871 0.5797
Cu 0.5797 0.5797 0.0871
Cu 0.9129 0.4203 0.4203

Symmetry   R-3m (166)
Density of states at the Fermi level   0.679 states/eV per atom
ρ   5.73 g/cm³
E_tot   -3.58 eV/atom
Spin magnetization   0.000 μB per formula unit



Question: Among the records above, which one has the highest spin magnetization?
Answer: LiPu2Cl2O2